Entry from Alexandria: a relaxed RbMgCo2F8 crystal (GGA+U).

Cell and atoms, written as CIF:
```
data_RbMgCo2F8
_cell_length_a 4.861
_cell_length_b 4.885
_cell_length_c 7.855
_cell_angle_alpha 89.78
_cell_angle_beta 88.02
_cell_angle_gamma 85.31
_space_group_name_H-M_alt 'P -1'
_space_group_IT_number 2
_space_group_name_Hall '-P 1'
loop_
_atom_site_label
_atom_site_type_symbol
_atom_site_fract_x
_atom_site_fract_y
_atom_site_fract_z
Rb1 Rb 0.000 0.000 0.000
Mg1 Mg 0.000 0.000 0.500
Co1 Co 0.478 0.486 0.681
F1 F 0.212 0.789 0.318
F2 F 0.220 0.811 0.677
F3 F 0.292 0.309 0.487
F4 F 0.335 0.379 0.885
```

* VASP energy: -0.176 Ha/atom
* crystal system: triclinic